A plane-wave DFT calculation with PBE was carried out for crystalline Tb8NdEr2 at its relaxed geometry.

ΔE to the lowest computed polymorph: 39.5 meV/atom
Formation enthalpy at 0 K: 0.15 eV per atom
Density: 8.1 Mg/m³

a b c (Å): 5.9015 9.0379 9.3681
angles (deg): 61.16 73.93 54.97
Fractional positions:
Tb 0.8116 0.0984 0.2437
Tb 0.8116 0.3421 0.7563
Tb 0.2918 0.4349 0.0000
Tb 0.5000 0.7948 0.4103
Tb 0.5000 0.2052 0.5897
Tb 0.7082 0.5651 0.0000
Tb 0.1884 0.6579 0.2437
Tb 0.1884 0.9016 0.7563
Nd 0.5000 0.0000 0.0000
Er 0.0000 0.3100 0.3800
Er 0.0000 0.6900 0.6200